No. 1
Density functional theory data (GGA-PBE) for crystalline Pr3Y2N4 at its relaxed geometry.

Cell and atoms, written as POSCAR:
```
Pr3Y2N4
1.0
3.106 -1.793 0.000
3.106 1.793 0.000
-0.017 0.000 15.111
Pr Y N
3 2 4
Direct
0.000 0.000 0.000
0.334 0.334 0.379
0.666 0.666 0.621
0.333 0.333 0.810
0.667 0.667 0.190
0.001 0.001 0.292
0.334 0.334 0.105
0.666 0.666 0.895
0.999 0.999 0.708
```

Summary:
SG   No. 12

No. 2
Density functional theory data (GGA-PBE) for crystalline PrY5N6 at its relaxed geometry.

Cell and atoms, written as POSCAR:
```
PrY5N6
1.0
3.046 -5.276 0.000
3.046 5.276 0.000
-2.029 0.000 5.740
Pr Y N
1 5 6
Direct
0.000 0.000 0.000
0.168 0.832 0.500
0.334 0.666 0.000
0.500 0.500 0.500
0.666 0.334 0.000
0.832 0.168 0.500
0.085 0.426 0.254
0.257 0.257 0.746
0.426 0.085 0.254
0.574 0.915 0.746
0.743 0.743 0.254
0.915 0.574 0.746
```

Summary:
SG   No. 12

No. 3
Density functional theory data (GGA-PBE) for crystalline PrYN at its relaxed geometry.

Cell and atoms, written as POSCAR:
```
PrYN
1.0
3.577 0.000 0.000
-1.788 3.097 0.000
0.000 0.000 6.313
Pr Y N
1 1 1
Direct
0.000 0.000 0.000
0.667 0.333 0.564
0.333 0.667 0.752
```

Summary:
SG   No. 156
Energy above the lowest structure with this stoichiometry   0.000 eV per atom

No. 4
Density functional theory data (GGA-PBE) for crystalline PrY2N at its relaxed geometry.

Cell and atoms, written as POSCAR:
```
PrY2N
1.0
1.741 1.005 9.678
-1.741 1.005 9.678
0.000 -2.010 9.678
Pr Y N
1 2 1
Direct
0.000 0.000 0.000
0.121 0.121 0.121
0.879 0.879 0.879
0.500 0.500 0.500
```

Summary:
SG   No. 166
Energy above the lowest structure with this stoichiometry   0.000 eV per atom

No. 5
Density functional theory data (GGA-PBE) for crystalline PrY2N3 at its relaxed geometry.

Cell and atoms, written as POSCAR:
```
PrY2N3
1.0
3.077 -5.329 0.000
3.077 5.329 0.000
-2.049 0.000 5.802
Pr Y N
2 4 6
Direct
0.167 0.833 0.000
0.833 0.167 0.000
0.000 0.000 0.500
0.335 0.665 0.500
0.500 0.500 0.000
0.665 0.335 0.500
0.089 0.414 0.742
0.261 0.261 0.258
0.414 0.089 0.742
0.586 0.911 0.258
0.739 0.739 0.742
0.911 0.586 0.258
```

Summary:
SG   No. 12

No. 6
Density functional theory data (GGA-PBE) for crystalline PrY3N4 at its relaxed geometry.

Cell and atoms, written as POSCAR:
```
PrY3N4
1.0
6.121 0.000 0.000
0.000 7.076 0.000
-2.038 0.000 5.769
Pr Y N
2 6 8
Direct
0.000 0.127 0.250
0.000 0.873 0.750
0.000 0.377 0.750
0.000 0.623 0.250
0.500 0.129 0.750
0.500 0.376 0.250
0.500 0.624 0.750
0.500 0.871 0.250
0.253 0.379 0.506
0.253 0.621 0.006
0.259 0.132 0.998
0.259 0.868 0.498
0.741 0.132 0.502
0.741 0.868 0.002
0.747 0.379 0.994
0.747 0.621 0.494
```

Summary:
SG   No. 13

Number 1: calculated density 6.5 Mg/m³, ΔE_f (raw) -123.9 kJ per mole of atoms. Number 2: calculated density 6.0 Mg/m³, ΔE_f (raw) -155.0 kJ per mole of atoms. Number 3: calculated density 5.8 Mg/m³, ΔE_f (raw) -89.0 kJ per mole of atoms. Number 4: calculated density 5.4 Mg/m³, ΔE_f (raw) -67.5 kJ per mole of atoms. Number 5: calculated density 6.3 Mg/m³, ΔE_f (raw) -147.7 kJ per mole of atoms. Number 6: calculated density 6.2 Mg/m³, ΔE_f (raw) -151.1 kJ per mole of atoms.